(1)
Material: LaCdTe2As
Method: DFT, PBE
State: relaxed

The space group is P4/mmm (No. 123) and the conventional cell measures 6.115, 6.115 and 6.729 Å, with angles of 90.00, 90.00 and 90.00 degrees. The inequivalent atoms are La at (0.000, 0.000, 0.000), Cd at (0.000, 0.000, 0.500), Te at (0.000, 0.500, 0.000) and As at (0.500, 0.500, 0.500).

---

(2)
Material: Sc2InCo
Method: DFT, PBE
State: relaxed

The space group is R-3m (No. 166, hexagonal axes) and the conventional cell measures 3.3810, 3.3810 and 24.8560 Å, with angles of 90.00, 90.00 and 120.00 degrees. The inequivalent atoms are Sc at (0.0000, 0.0000, 0.2313), In at (0.0000, 0.0000, 0.0000) and Co at (0.0000, 0.0000, 0.5000).

---

(3)
Material: Cd2CoBr
Method: DFT, PBE
State: relaxed

The space group is Pm (No. 6) and the conventional cell measures 4.191, 3.236 and 6.868 Å, with angles of 90.00, 107.68 and 90.00 degrees. The inequivalent atoms are Cd at (0.000, 0.000, 0.000), Cd at (0.355, 0.500, 0.709), Co at (0.802, 0.000, 0.602) and Br at (0.661, 0.500, 0.317).

As for the excess energy over the best structure of this formula in the dataset: 4.2 kJ per mole of atoms.

---

(4)
Material: ReSbMo2
Method: DFT, PBE
State: relaxed

The space group is P4/mmm (No. 123) and the conventional cell measures 3.053, 3.053 and 7.286 Å, with angles of 90.00, 90.00 and 90.00 degrees. The inequivalent atoms are Re at (0.000, 0.000, 0.000), Sb at (0.000, 0.000, 0.500) and Mo at (0.500, 0.500, 0.228).

---

(5)
Material: LaNdSm2Bi5
Method: DFT, PBE
State: relaxed

The space group is P4/mmm (No. 123) and the conventional cell measures 5.552, 5.552 and 12.219 Å, with angles of 90.00, 90.00 and 90.00 degrees. The inequivalent atoms are La at (0.000, 0.000, 0.000), Nd at (0.000, 0.000, 0.500), Sm at (0.500, 0.500, 0.269), Bi at (0.000, 0.000, 0.248), Bi at (0.000, 0.500, 0.500) and Bi at (0.500, 0.500, 0.000).

---

(6)
Material: MnIr3W
Method: DFT, PBE
State: relaxed

The space group is P-1 (No. 2) and the conventional cell measures 5.076, 5.079 and 6.788 Å, with angles of 71.43, 69.37 and 78.40 degrees. The inequivalent atoms are Mn at (0.206, 0.453, 0.094), Ir at (0.000, 0.000, 0.000), Ir at (0.305, 0.361, 0.674), Ir at (0.444, 0.822, 0.692), Ir at (0.500, 0.000, 0.000) and W at (0.111, 0.807, 0.402).

As for the excess energy over the best structure of this formula in the dataset: 0.0 kJ per mole of atoms.

---

(7)
Material: MgNi2Te
Method: DFT, PBE
State: relaxed

The space group is F-43m (No. 216) and the conventional cell measures 6.351, 6.351 and 6.351 Å, with angles of 90.00, 90.00 and 90.00 degrees. The inequivalent atoms are Mg at (0.000, 0.000, 0.000), Ni at (0.000, 0.000, 0.500), Ni at (0.250, 0.250, 0.750) and Te at (0.250, 0.250, 0.250).

As for the excess energy over the best structure of this formula in the dataset: 26.1 kJ per mole of atoms.

---

(8)
Material: LaTbPd2
Method: DFT, PBE
State: relaxed

The space group is Fm-3m (No. 225) and the conventional cell measures 7.218, 7.218 and 7.218 Å, with angles of 90.00, 90.00 and 90.00 degrees. The inequivalent atoms are La at (0.000, 0.000, 0.000), Tb at (0.000, 0.000, 0.500) and Pd at (0.250, 0.250, 0.250).

As for the excess energy over the best structure of this formula in the dataset: 7.2 kJ per mole of atoms.

---

Number 1: DFT total energy -3.05 eV/atom. Number 2: DFT total energy -5.83 eV/atom. Number 3: DFT total energy -2.50 eV/atom. Number 4: DFT total energy -9.30 eV/atom. Number 5: DFT total energy -4.31 eV/atom. Number 6: DFT total energy -9.67 eV/atom. Number 7: DFT total energy -3.92 eV/atom. Number 8: DFT total energy -5.77 eV/atom.